Entry 1:
## MgNbOs (PBE-GGA)

Data for an optimized crystal structure of MgNbOs.

Summary:
**ΔH_f (0 K)**: -0.032 eV/atom
**M_tot**: 0.00 μB per cell
**Excess energy over the best structure of this formula in the dataset**: 0.1072 eV/atom
**DOS at the Fermi energy**: 8.2 states/eV/cell
**E_tot**: -7.66 eV/atom

Cell: 9.6624 4.5332 5.4750 Å, 90.00 123.32 90.00°
Space group C2/m (No. 12)
Asymmetric unit:
Mg1 0.0125 0.0000 0.2630
Nb1 0.1744 0.5000 0.7390
Os1 0.1654 0.5000 0.2196

Entry 2:
## MgNbOs3 (PBE-GGA)

Data for an optimized crystal structure of MgNbOs3.

Summary:
**ΔH_f (0 K)**: 1.897 eV/atom
**M_tot**: 0.65 μB per cell
**Excess energy over the best structure of this formula in the dataset**: 0.1202 eV/atom
**DOS at the Fermi energy**: 7.1 states/eV/cell
**E_tot**: -7.17 eV/atom

Cell: 4.7701 4.7701 4.7701 Å, 90.00 90.00 90.00°
Space group Pm-3m (No. 221)
Asymmetric unit:
Mg1 0.0000 0.0000 0.0000
Nb1 0.5000 0.5000 0.5000
Os1 0.0000 0.5000 0.5000

Entry 3:
## MgNbOsPt2 (PBE-GGA)

Data for an optimized crystal structure of MgNbOsPt2.

Summary:
**ΔH_f (0 K)**: 1.136 eV/atom
**M_tot**: 0.00 μB per cell
**DOS at the Fermi energy**: 10.6 states/eV/cell
**E_tot**: -5.86 eV/atom

Cell: 4.4519 4.4519 4.5438 Å, 90.00 90.00 90.00°
Space group P4/mmm (No. 123)
Asymmetric unit:
Mg1 0.0000 0.0000 0.0000
Nb1 0.5000 0.5000 0.5000
Os1 0.0000 0.0000 0.5000
Pt1 0.0000 0.5000 0.0000

Entry 4:
## MgNbOsRh (PBE-GGA)

Data for an optimized crystal structure of MgNbOsRh.

Summary:
**ΔH_f (0 K)**: -0.343 eV/atom
**M_tot**: 0.00 μB per cell
**DOS at the Fermi energy**: 2.6 states/eV/cell
**E_tot**: -7.90 eV/atom

Cell: 6.3007 6.3007 6.3007 Å, 90.00 90.00 90.00°
Space group F-43m (No. 216)
Asymmetric unit:
Mg1 0.0000 0.0000 0.0000
Nb1 0.0000 0.0000 0.5000
Os1 0.2500 0.2500 0.2500
Rh1 0.2500 0.2500 0.7500

Entry 5:
## MgNbOsRu (PBE-GGA)

Data for an optimized crystal structure of MgNbOsRu.

Summary:
**ΔH_f (0 K)**: -0.178 eV/atom
**M_tot**: 0.00 μB per cell
**DOS at the Fermi energy**: 11.7 states/eV/cell
**E_tot**: -8.22 eV/atom

Cell: 6.2926 6.2926 6.2926 Å, 90.00 90.00 90.00°
Space group F-43m (No. 216)
Asymmetric unit:
Mg1 0.0000 0.0000 0.0000
Nb1 0.0000 0.0000 0.5000
Os1 0.2500 0.2500 0.7500
Ru1 0.2500 0.2500 0.2500

Entry 6:
## Mg2NbP2 (PBE-GGA)

Data for an optimized crystal structure of Mg2NbP2.

Summary:
**ΔH_f (0 K)**: -0.500 eV/atom
**M_tot**: 0.00 μB per cell
**DOS at the Fermi energy**: 3.5 states/eV/cell
**E_tot**: -5.32 eV/atom

Cell: 6.6512 6.6512 3.7920 Å, 90.00 90.00 90.00°
Space group P4/mbm (No. 127)
Asymmetric unit:
Mg1 0.1640 0.3360 0.0000
Nb1 0.0000 0.0000 0.5000
P1 0.1447 0.6447 0.5000